Density functional theory data (meta-GGA SCAN) for Ba2Al at its PBEsol-relaxed geometry.

Lattice parameters (Å, degrees): 6.980 6.980 6.980 107.62 107.62 113.25
Sites, in units of the cell vectors:
Ba: 0.805 0.695 0.500
Ba: 0.695 0.195 0.890
Al: 0.250 0.250 0.000
Ba: 0.305 0.805 0.110
Al: 0.750 0.750 0.000
Ba: 0.195 0.305 0.500

E_form   -0.03 eV/atom



Density functional theory data (meta-GGA SCAN) for LiNd6B3O13F2 at its PBEsol-relaxed geometry.

Lattice parameters (Å, degrees): 6.908 6.936 15.993 77.68 77.53 60.13
Sites, in units of the cell vectors:
F: 0.017 0.681 0.457
Nd: 0.237 0.840 0.888
B: 0.442 0.391 0.251
O: 0.354 0.022 0.439
O: 0.838 0.781 0.172
B: 0.915 0.891 0.751
O: 0.474 0.150 0.059
O: 0.636 0.193 0.261
Li: 0.074 0.750 0.250
O: 0.646 0.978 0.561
Li: 0.926 0.250 0.750
Nd: 0.378 0.696 0.401
Nd: 0.036 0.340 0.388
O: 0.057 0.008 0.333
O: 0.317 0.650 0.559
B: 0.714 0.750 0.250
O: 0.517 0.750 0.250
F: 0.845 0.181 0.957
O: 0.185 0.522 0.939
B: 0.558 0.609 0.749
Nd: 0.763 0.160 0.112
Nd: 0.524 0.196 0.901
Nd: 0.698 0.029 0.406
O: 0.398 0.492 0.167
O: 0.911 0.693 0.761
O: 0.483 0.250 0.750
O: 0.089 0.307 0.239
F: 0.155 0.819 0.043
O: 0.897 0.987 0.822
F: 0.983 0.319 0.543
O: 0.103 0.013 0.178
O: 0.209 0.281 0.672
O: 0.683 0.350 0.441
O: 0.706 0.513 0.678
O: 0.364 0.807 0.739
O: 0.791 0.719 0.328
Nd: 0.133 0.471 0.094
Nd: 0.476 0.804 0.099
B: 0.085 0.109 0.249
B: 0.286 0.250 0.750
O: 0.943 0.992 0.667
Nd: 0.302 0.971 0.594
O: 0.815 0.478 0.061
Nd: 0.867 0.529 0.906
Nd: 0.622 0.304 0.599
O: 0.526 0.850 0.941
O: 0.602 0.508 0.833
Nd: 0.964 0.660 0.612
O: 0.294 0.487 0.322
O: 0.162 0.219 0.828

E_form (uncorrected)   -3.500 eV/atom



Density functional theory data (meta-GGA SCAN) for Eu2Ga7Ag at its PBEsol-relaxed geometry.

Lattice parameters (Å, degrees): 4.261 4.261 10.730 90.00 90.00 90.00
Site moments in Bohr magnetons follow the coordinates.
Sites, in units of the cell vectors:
Ag: 0.500 0.500 0.000  -0.01
Ga: 0.500 0.500 0.500  -0.03
Eu: 0.000 0.500 0.255  6.84
Ga: 0.000 0.500 0.864  -0.01
Eu: 0.500 0.000 0.745  6.84
Ga: 0.500 0.000 0.364  -0.03
Ga: 0.000 0.500 0.636  -0.03
Ga: 0.500 0.000 0.136  -0.01
Ga: 0.000 0.000 0.500  -0.03
Ga: 0.000 0.000 0.000  -0.02

E_form   -0.51 eV/atom



Density functional theory data (meta-GGA SCAN) for Ho2NiAs2 at its PBEsol-relaxed geometry.

Lattice parameters (Å, degrees): 4.035 4.035 13.946 90.00 90.00 120.00
Sites, in units of the cell vectors:
As: 0.667 0.333 0.750
As: 0.000 0.000 0.000
As: 0.333 0.667 0.250
Ho: 0.333 0.667 0.617
Ni: 0.000 0.000 0.750
Ho: 0.667 0.333 0.383
Ni: 0.000 0.000 0.250
Ho: 0.333 0.667 0.883
Ho: 0.667 0.333 0.117
As: 0.000 0.000 0.500

E_form   -1.36 eV/atom



Density functional theory data (meta-GGA SCAN) for BPbI2Cl at its PBEsol-relaxed geometry.

Lattice parameters (Å, degrees): 4.896 4.896 5.427 90.00 90.00 90.00
Sites, in units of the cell vectors:
I: 0.500 0.000 0.000
Pb: 0.000 0.000 0.500
I: 0.000 0.500 0.000
Cl: 0.500 0.500 0.500
B: 0.000 0.000 0.000

E_form (uncorrected)   0.385 eV/atom



Density functional theory data (meta-GGA SCAN) for LaMgTaFeO6 at its PBEsol-relaxed geometry.

Lattice parameters (Å, degrees): 5.380 5.562 7.789 90.00 90.13 90.00
Site moments in Bohr magnetons follow the coordinates.
Sites, in units of the cell vectors:
Ta: 0.498 0.742 0.998  0.03
O: 0.716 0.475 0.932  0.05
Fe: 0.502 0.754 0.500  3.63
O: 0.831 0.949 0.565  0.04
O: 0.308 0.064 0.441  0.05
Mg: 0.475 0.308 0.258  0.00
Mg: 0.975 0.692 0.758  0.00
O: 0.589 0.692 0.242  0.05
O: 0.357 0.778 0.760  0.04
La: 0.009 0.799 0.250  -0.02
O: 0.808 0.936 0.941  0.05
Ta: 0.998 0.258 0.498  0.03
O: 0.331 0.051 0.065  0.04
Fe: 0.002 0.246 0.000  3.63
O: 0.089 0.308 0.742  0.05
La: 0.509 0.201 0.750  -0.02
O: 0.857 0.222 0.260  0.04
O: 0.216 0.525 0.432  0.05
O: 0.216 0.532 0.053  0.05
O: 0.716 0.468 0.553  0.05

E_form (uncorrected)   -2.874 eV/atom



Density functional theory data (meta-GGA SCAN) for ScTe2Ir at its PBEsol-relaxed geometry.

Lattice parameters (Å, degrees): 3.893 3.893 8.732 77.12 77.12 60.00
Sites, in units of the cell vectors:
Te: 0.888 0.888 0.337
Sc: 0.000 0.000 0.000
Ir: 0.500 0.500 0.500
Te: 0.112 0.112 0.663

E_form (uncorrected)   -0.185 eV/atom



Density functional theory data (meta-GGA SCAN) for TbNi4As2 at its PBEsol-relaxed geometry.

Lattice parameters (Å, degrees): 3.733 7.148 7.148 90.00 90.00 90.00
Sites, in units of the cell vectors:
Ni: 0.000 0.089 0.347
As: 0.500 0.718 0.718
As: 0.500 0.282 0.282
Ni: 0.000 0.347 0.089
Ni: 0.500 0.847 0.411
As: 0.000 0.782 0.218
Ni: 0.500 0.153 0.589
Ni: 0.500 0.589 0.153
Ni: 0.500 0.411 0.847
Ni: 0.000 0.653 0.911
Ni: 0.000 0.911 0.653
Tb: 0.000 0.500 0.500
Tb: 0.500 0.000 0.000
As: 0.000 0.218 0.782

E_form   -0.67 eV/atom



Density functional theory data (meta-GGA SCAN) for TiSbN2O at its PBEsol-relaxed geometry.

Lattice parameters (Å, degrees): 3.781 3.982 3.982 90.00 90.00 90.00
Site moments in Bohr magnetons follow the coordinates.
Sites, in units of the cell vectors:
Sb: 0.500 0.500 0.500  -0.04
O: 0.500 0.000 0.000  0.06
N: 0.000 0.500 0.000  0.40
Ti: 0.000 0.000 0.000  -0.09
N: 0.000 0.000 0.500  0.40

E_form (uncorrected)   -0.453 eV/atom



Density functional theory data (meta-GGA SCAN) for Y4FeAs at its PBEsol-relaxed geometry.

Lattice parameters (Å, degrees): 5.988 5.988 5.988 60.00 60.00 60.00
Site moments in Bohr magnetons follow the coordinates.
Sites, in units of the cell vectors:
As: 0.750 0.750 0.750  -0.01
Y: 0.876 0.375 0.375  0.03
Y: 0.375 0.375 0.876  0.03
Y: 0.375 0.876 0.375  0.03
Fe: 0.000 0.000 0.000  3.13
Y: 0.375 0.375 0.375  0.03

E_form   0.64 eV/atom



Density functional theory data (meta-GGA SCAN) for KCdAs2 at its PBEsol-relaxed geometry.

Lattice parameters (Å, degrees): 5.060 5.060 5.060 60.00 60.00 60.00
Sites, in units of the cell vectors:
As: 0.750 0.750 0.750
K: 0.250 0.250 0.250
As: 0.000 0.000 0.000
Cd: 0.500 0.500 0.500

E_form   0.22 eV/atom



Density functional theory data (meta-GGA SCAN) for ZrAlPt3 at its PBEsol-relaxed geometry.

Lattice parameters (Å, degrees): 4.876 4.876 4.876 90.00 90.00 90.00
Sites, in units of the cell vectors:
Pt: 0.500 0.000 0.000
Pt: 0.000 0.000 0.500
Zr: 0.000 0.000 0.000
Pt: 0.000 0.500 0.000
Al: 0.500 0.500 0.500

E_form   0.77 eV/atom